1.
Density functional theory data (GGA-PBE) for a relaxed structure of Y3TcPb.

**Final energy**: -6.685 eV/atom
**Offset from the most stable computed form**: 0.0 meV/atom
**Total magnetic moment**: 0.000 μB/f.u.
**ΔE_f**: 0.008 eV per atom
**Density of states at the Fermi level**: 0.269 states/eV per atom

Cell: 5.3255 5.3255 5.3255 Å, 90.00 90.00 90.00°
Fractional positions:
Pb 0.5000 0.5000 0.5000
Y 0.0000 0.5000 0.0000
Y 0.0000 0.0000 0.5000
Y 0.5000 0.0000 0.0000
Tc 0.0000 0.0000 0.0000


2.
Density functional theory data (GGA-PBE) for a relaxed structure of YTcPb2.

**Final energy**: -5.944 eV/atom
**Offset from the most stable computed form**: 0.0 meV/atom
**Total magnetic moment**: 0.000 μB/f.u.
**ΔE_f**: 0.117 eV per atom
**Density of states at the Fermi level**: 0.617 states/eV per atom

Cell: 5.8928 5.8928 5.8928 Å, 144.65 124.20 67.80°
Fractional positions:
Pb 0.9734 0.9734 0.0000
Pb 0.5266 0.5266 0.0000
Tc 0.7500 0.2500 0.5000
Y 0.2500 0.7500 0.5000


3.
Density functional theory data (GGA-PBE) for a relaxed structure of YTcPb2.

**Final energy**: -5.875 eV/atom
**Offset from the most stable computed form**: 69.1 meV/atom
**Total magnetic moment**: 0.361 μB/f.u.
**ΔE_f**: 0.186 eV per atom
**Density of states at the Fermi level**: 0.920 states/eV per atom

Cell: 4.7698 3.5294 5.8078 Å, 81.04 90.00 90.00°
Site moments in Bohr magnetons follow the coordinates.
Fractional positions:
Pb 0.0000 0.0885 0.0169  -0.01
Pb 0.0000 0.4115 0.4831  -0.01
Tc 0.5000 0.2500 0.2500  0.38
Y 0.5000 0.7500 0.7500  -0.03


4.
Density functional theory data (GGA-PBE) for a relaxed structure of YTcPb2.

**Final energy**: -5.921 eV/atom
**Offset from the most stable computed form**: 23.7 meV/atom
**Total magnetic moment**: 0.002 μB/f.u.
**ΔE_f**: 0.141 eV per atom
**Density of states at the Fermi level**: 0.990 states/eV per atom

Cell: 5.1319 5.1319 5.6300 Å, 76.10 76.10 41.65°
Fractional positions:
Pb 0.0170 0.0170 0.9628
Pb 0.4830 0.4830 0.5372
Tc 0.7500 0.7500 0.7500
Y 0.2500 0.2500 0.2500


5.
Density functional theory data (GGA-PBE) for a relaxed structure of YTcPb2.

**Final energy**: -5.930 eV/atom
**Offset from the most stable computed form**: 14.0 meV/atom
**Total magnetic moment**: 0.000 μB/f.u.
**ΔE_f**: 0.131 eV per atom
**Density of states at the Fermi level**: 0.419 states/eV per atom

Cell: 5.0352 5.0352 5.0352 Å, 60.00 60.00 60.00°
Fractional positions:
Pb 0.2500 0.2500 0.2500
Pb 0.7500 0.7500 0.7500
Y 0.0000 0.0000 0.0000
Tc 0.5000 0.5000 0.5000


6.
Density functional theory data (GGA-PBE) for a relaxed structure of Y2TcPb.

**Final energy**: -6.527 eV/atom
**Total magnetic moment**: 0.000 μB/f.u.
**ΔE_f**: 0.223 eV per atom
**Density of states at the Fermi level**: 0.888 states/eV per atom

Cell: 8.3060 8.3060 6.5988 Å, 51.00 51.00 90.00°
Fractional positions:
Pb 0.0000 0.0000 0.0000
Pb 0.7500 0.2500 0.5000
Y 0.5595 0.1250 0.2500
Y 0.1905 0.6250 0.2500
Y 0.3750 0.4405 0.7500
Y 0.8750 0.8095 0.7500
Tc 0.5000 0.5000 0.0000
Tc 0.2500 0.7500 0.5000


7.
Density functional theory data (GGA-PBE) for a relaxed structure of YTcPb2.

**Final energy**: -5.625 eV/atom
**Offset from the most stable computed form**: 319.1 meV/atom
**Total magnetic moment**: 0.496 μB/f.u.
**ΔE_f**: 0.436 eV per atom
**Density of states at the Fermi level**: 0.881 states/eV per atom

Cell: 4.4060 4.4060 11.1107 Å, 78.56 78.56 90.00°
Site moments in Bohr magnetons follow the coordinates.
Fractional positions:
Pb 0.6400 0.1250 0.2500  -0.02
Pb 0.1100 0.6250 0.2500  -0.02
Pb 0.3750 0.3600 0.7500  -0.02
Pb 0.8750 0.8900 0.7500  -0.02
Y 0.5000 0.5000 0.0000  -0.06
Y 0.2500 0.7500 0.5000  -0.06
Tc 0.0000 0.0000 0.0000  0.59
Tc 0.7500 0.2500 0.5000  0.59


8.
Density functional theory data (GGA-PBE) for a relaxed structure of YTcPb.

**Final energy**: -6.578 eV/atom
**Offset from the most stable computed form**: 243.2 meV/atom
**Total magnetic moment**: 0.000 μB/f.u.
**ΔE_f**: 0.268 eV per atom
**Density of states at the Fermi level**: 0.575 states/eV per atom

Cell: 4.7423 4.7423 4.7423 Å, 60.00 60.00 60.00°
Fractional positions:
Pb 0.5000 0.5000 0.5000
Tc 0.7500 0.7500 0.7500
Y 0.0000 0.0000 0.0000


9.
Density functional theory data (GGA-PBE) for a relaxed structure of YTcPb2.

**Final energy**: -5.816 eV/atom
**Offset from the most stable computed form**: 128.2 meV/atom
**Total magnetic moment**: 1.998 μB/f.u.
**ΔE_f**: 0.245 eV per atom
**Density of states at the Fermi level**: 0.820 states/eV per atom

Cell: 5.8414 5.8414 5.8414 Å, 135.59 135.59 64.61°
Site moments in Bohr magnetons follow the coordinates.
Fractional positions:
Pb 0.0000 0.0000 0.0000  -0.02
Pb 0.2500 0.7500 0.5000  0.01
Tc 0.5000 0.5000 0.0000  1.84
Y 0.7500 0.2500 0.5000  -0.03


10.
Density functional theory data (GGA-PBE) for a relaxed structure of Y2TcPb.

**Final energy**: -6.836 eV/atom
**Total magnetic moment**: 0.000 μB/f.u.
**ΔE_f**: -0.086 eV per atom
**Density of states at the Fermi level**: 1.093 states/eV per atom

Cell: 4.6237 3.8845 5.9164 Å, 70.81 90.00 90.00°
Fractional positions:
Pb 0.0000 0.6966 0.4819
Tc 0.5000 0.5461 0.7827
Y 0.0000 0.9796 0.9154
Y 0.5000 0.2777 0.3200


11.
Density functional theory data (GGA-PBE) for a relaxed structure of ZnTc2Pb.

**Final energy**: -5.780 eV/atom
**Offset from the most stable computed form**: 455.6 meV/atom
**Total magnetic moment**: 3.204 μB/f.u.
**ΔE_f**: 0.648 eV per atom
**Density of states at the Fermi level**: 0.895 states/eV per atom

Cell: 4.9823 4.9823 4.9823 Å, 131.16 131.16 71.56°
Site moments in Bohr magnetons follow the coordinates.
Fractional positions:
Pb 0.7500 0.2500 0.5000  -0.02
Tc 0.0000 0.0000 0.0000  1.46
Tc 0.5000 0.5000 0.0000  1.46
Zn 0.2500 0.7500 0.5000  0.00


12.
Density functional theory data (GGA-PBE) for a relaxed structure of ZnTc2Pb.

**Final energy**: -5.894 eV/atom
**Offset from the most stable computed form**: 341.6 meV/atom
**Total magnetic moment**: 0.000 μB/f.u.
**ΔE_f**: 0.534 eV per atom
**Density of states at the Fermi level**: 0.948 states/eV per atom

Cell: 4.4908 3.0762 5.2380 Å, 88.53 90.00 90.00°
Fractional positions:
Pb 0.5000 0.7500 0.7500
Tc 0.0000 0.9461 0.0531
Tc 0.0000 0.5539 0.4469
Zn 0.5000 0.2500 0.2500


Ordered volume results: 30.207, 24.126, 24.145, 23.805, 22.567, 25.942, 25.880, 25.138, 24.059, 25.089, 17.150, 18.084; unit Å³/atom.